Density functional theory data (PBE) for an optimized crystal structure of MgH3Ir.

Properties
Calculated volume   44 Å³/f.u.
Final energy   -4.3222 eV/atom
Magnetization   0.00 μB per atom

Cell lengths 3.5457, 4.7144, 5.5805 Å; angles 89.71, 71.53, 89.99 degrees
Fractional coordinates of all 10 atoms:
Mg  0.0000  0.0000  0.0000
Mg  0.2650  0.5245  0.4666
H  0.0324  0.5194  0.9339
H  0.2294  0.0300  0.5391
H  0.4409  0.7765  0.1175
H  0.5661  0.1759  0.8675
H  0.8233  0.7774  0.3507
H  0.8354  0.2730  0.3247
Ir  0.5516  0.5376  0.8954
Ir  0.7217  0.0372  0.5545